[1]
## BaLi4Br (PBE)

Data for BaLi4Br after structural relaxation.

Calculated values
Its calculated volume is 28.87 A^3/atom. The raw total energy is -49.81 eV per cell. The uncorrected formation energy is -0.200 eV/atom.

Cell lengths 8.8489, 8.8489, 8.8489 Å; angles 90.00, 90.00, 90.00 degrees
Space group F-43m (No. 216)
One atom of each set of equivalent atoms:
Ba  0.0000  0.0000  0.0000
Li  0.1232  0.1232  0.3768
Br  0.2500  0.2500  0.7500

=====

[2]
## BaLi2Br4 (PBE)

Data for BaLi2Br4 after structural relaxation.

Calculated values
Its calculated volume is 31.40 A^3/atom. The raw total energy is -99.98 eV per cell. The uncorrected formation energy is -1.793 eV/atom.

Cell lengths 10.3648, 10.3648, 8.1850 Å; angles 90.00, 90.00, 90.00 degrees
Space group I-42d (No. 122)
One atom of each set of equivalent atoms:
Ba  0.0000  0.0000  0.0000
Li  0.0762  0.7500  0.6250
Br  0.0380  0.1982  0.3477

=====

[3]
## Ba2LiBr (PBE)

Data for Ba2LiBr after structural relaxation.

Calculated values
The distance to the lowest polymorph of the same formula comes out at 45.7 meV/atom. Its calculated volume is 41.21 A^3/atom. The raw total energy is -20.05 eV per cell. The uncorrected formation energy is -0.648 eV/atom.

Cell lengths 13.7188, 4.2961, 5.5943 Å; angles 90.00, 90.06, 90.00 degrees
Space group Cm (No. 8)
One atom of each set of equivalent atoms:
Ba  0.0000  0.0000  0.0000
Ba  0.2323  0.5000  0.5008
Li  0.2600  0.0000  0.0009
Br  0.4801  0.0000  0.4998

=====

[4]
## Ba2LiBr (PBE)

Data for Ba2LiBr after structural relaxation.

Calculated values
The distance to the lowest polymorph of the same formula comes out at 7.9 meV/atom. Its calculated volume is 46.88 A^3/atom. The raw total energy is -10.17 eV per cell. The uncorrected formation energy is -0.685 eV/atom.

Cell lengths 4.5123, 4.3393, 9.5777 Å; angles 90.00, 90.78, 90.00 degrees
Space group P2/m (No. 10)
One atom of each set of equivalent atoms:
Ba  0.0074  0.0000  0.2310
Li  0.5000  0.5000  0.0000
Br  0.0000  0.5000  0.5000

=====

Q: Which value of raw total energy does entry 3 give?
A: -20.05 eV per cell